A | # AsRu2Pb PBE relaxed
# DOS(E_F) in states/eV per cell: 6.6
# Magnetization in μB per cell: 0.00
data_AsRu2Pb
_cell_length_a 7.132
_cell_length_b 3.110
_cell_length_c 7.127
_cell_angle_alpha 90.00
_cell_angle_beta 107.94
_cell_angle_gamma 90.00
_symmetry_space_group_name_H-M 'C 1 2/m 1'
_symmetry_Int_Tables_number 12
_symmetry_space_group_name_Hall '-C 2y'
loop_
_atom_site_label
_atom_site_type_symbol
_atom_site_fract_x
_atom_site_fract_y
_atom_site_fract_z
As1 As 0.000 0.000 0.000
Ru1 Ru 0.235 0.000 0.821
Pb1 Pb 0.000 0.500 0.500

---

B | # AsRu2Pb PBE relaxed
# DOS(E_F) in states/eV per cell: 23.0
# Magnetization in μB per cell: 0.57
data_AsRu2Pb
_cell_length_a 6.549
_cell_length_b 6.549
_cell_length_c 6.549
_cell_angle_alpha 90.00
_cell_angle_beta 90.00
_cell_angle_gamma 90.00
_symmetry_space_group_name_H-M 'F -4 3 m'
_symmetry_Int_Tables_number 216
_symmetry_space_group_name_Hall 'F -4 2 3'
loop_
_atom_site_label
_atom_site_type_symbol
_atom_site_fract_x
_atom_site_fract_y
_atom_site_fract_z
As1 As 0.000 0.000 0.000
Ru1 Ru 0.000 0.000 0.500
Ru2 Ru 0.250 0.250 0.750
Pb1 Pb 0.250 0.250 0.250

---

Most favorable structure: A. The second most favorable one is 462 meV/atom above it.

---

A | # Y2Tc PBE relaxed
# DOS(E_F) in states/eV per cell: 8.6
# Magnetization in μB per cell: 0.00
data_Y2Tc
_cell_length_a 7.8838
_cell_length_b 7.8838
_cell_length_c 4.0446
_cell_angle_alpha 90.00
_cell_angle_beta 90.00
_cell_angle_gamma 120.00
_symmetry_space_group_name_H-M 'P -6 2 m'
_symmetry_Int_Tables_number 189
_symmetry_space_group_name_Hall 'P -6 -2'
loop_
_atom_site_label
_atom_site_type_symbol
_atom_site_fract_x
_atom_site_fract_y
_atom_site_fract_z
Y1 Y 0.0000 0.2575 0.0000
Y2 Y 0.0000 0.5942 0.5000
Tc1 Tc 0.0000 0.0000 0.5000
Tc2 Tc 0.3333 0.6667 0.0000

---

B | # Y2Tc PBE relaxed
# DOS(E_F) in states/eV per cell: 15.4
# Magnetization in μB per cell: 0.00
data_Y2Tc
_cell_length_a 3.429
_cell_length_b 3.429
_cell_length_c 27.139
_cell_angle_alpha 90.00
_cell_angle_beta 90.00
_cell_angle_gamma 90.00
_symmetry_space_group_name_H-M 'I 41/a m d'
_symmetry_Int_Tables_number 141
loop_
_symmetry_equiv_pos_as_xyz
'x,y,z'
'-x,-y,-z'
'-y+1/4,x+3/4,z+1/4'
'y+1/4,-x+3/4,-z+1/4'
'-x+1/2,-y,z+1/2'
'x+1/2,y,-z+1/2'
'y+1/4,-x+1/4,z+3/4'
'-y+1/4,x+1/4,-z+3/4'
'x,-y,-z'
'-x,y,z'
'-y+1/4,-x+1/4,-z+3/4'
'y+1/4,x+1/4,z+3/4'
'-x+1/2,y,-z+1/2'
'x+1/2,-y,z+1/2'
'y+1/4,x+3/4,-z+1/4'
'-y+1/4,-x+3/4,z+1/4'
'x+1/2,y+1/2,z+1/2'
'-x+1/2,-y+1/2,-z+1/2'
'-y+3/4,x+1/4,z+3/4'
'y+3/4,-x+1/4,-z+3/4'
'-x,-y+1/2,z'
'x,y+1/2,-z'
'y+3/4,-x+3/4,z+1/4'
'-y+3/4,x+3/4,-z+1/4'
'x+1/2,-y+1/2,-z+1/2'
'-x+1/2,y+1/2,z+1/2'
'-y+3/4,-x+3/4,-z+1/4'
'y+3/4,x+3/4,z+1/4'
'-x,y+1/2,-z'
'x,-y+1/2,z'
'y+3/4,x+1/4,-z+3/4'
'-y+3/4,-x+1/4,z+3/4'
loop_
_atom_site_label
_atom_site_type_symbol
_atom_site_fract_x
_atom_site_fract_y
_atom_site_fract_z
Y1 Y 0.000 0.250 0.314
Tc1 Tc 0.000 0.250 0.875

---

Most favorable structure: A. The second most favorable one is 23 meV/atom above it.

---

A | # BC2 PBE relaxed
# DOS(E_F) in states/eV per cell: 3.5
# Magnetization in μB per cell: 0.00
data_BC2
_cell_length_a 11.580
_cell_length_b 2.596
_cell_length_c 5.298
_cell_angle_alpha 90.00
_cell_angle_beta 102.99
_cell_angle_gamma 90.00
_symmetry_space_group_name_H-M 'C 1 2/m 1'
_symmetry_Int_Tables_number 12
_symmetry_space_group_name_Hall '-C 2y'
loop_
_atom_site_label
_atom_site_type_symbol
_atom_site_fract_x
_atom_site_fract_y
_atom_site_fract_z
B1 B 0.061 0.000 0.357
B2 B 0.207 0.500 0.223
C1 C 0.043 0.000 0.900
C2 C 0.121 0.500 0.929
C3 C 0.129 0.500 0.451
C4 C 0.197 0.500 0.728

---

B | # BC2 PBE relaxed
# DOS(E_F) in states/eV per cell: 1.9
# Magnetization in μB per cell: 0.00
data_BC2
_cell_length_a 4.412
_cell_length_b 4.588
_cell_length_c 4.596
_cell_angle_alpha 60.35
_cell_angle_beta 77.10
_cell_angle_gamma 71.15
_symmetry_space_group_name_H-M 'P 1'
_symmetry_Int_Tables_number 1
_symmetry_space_group_name_Hall 'P 1'
loop_
_atom_site_label
_atom_site_type_symbol
_atom_site_fract_x
_atom_site_fract_y
_atom_site_fract_z
B1 B 0.000 0.000 0.000
B2 B 0.009 0.661 0.665
B3 B 0.501 0.794 0.376
B4 B 0.548 0.162 0.978
C1 C 0.110 0.294 0.645
C2 C 0.129 0.607 0.007
C3 C 0.139 0.999 0.292
C4 C 0.479 0.173 0.645
C5 C 0.495 0.526 0.001
C6 C 0.621 0.797 0.678
C7 C 0.625 0.444 0.334
C8 C 0.994 0.335 0.322

---

Most favorable structure: A. The second most favorable one is 65 meV/atom above it.